Record 1
A plane-wave DFT calculation with PBE-GGA was carried out for crystalline SrAgPt2 at its relaxed geometry.

a = 4.6536 Å, b = 3.1322 Å, c = 5.8668 Å
α = 73.89°, β = 90.00°, γ = 90.00°
Last column: nearest neighbours and their distance in Å.
Sites, in units of the cell vectors:
Pt 0.0000 0.2076 0.9778  2 Pt 2.78, 1 Sr 2.93, 4 Ag 2.93-2.96
Ag 0.5000 0.7828 0.8166  7 Pt 2.89-3.21, 2 Ag 3.13
Sr 0.0000 0.4497 0.4588  7 Pt 2.93-3.14, 2 Sr 3.13
Pt 0.5000 0.0598 0.2467  2 Pt 2.78, 2 Ag 2.89, 4 Sr 3.05

Computed properties:
- crystal system = monoclinic
- density (g/cm3) = 11.8
- space-group type = Pm

Record 2
A plane-wave DFT calculation with PBE-GGA was carried out for crystalline SrAgPt2 at its relaxed geometry.

a = 4.2692 Å, b = 4.2909 Å, c = 4.2909 Å
α = 90.00°, β = 90.00°, γ = 90.00°
Last column: nearest neighbours and their distance in Å.
Sites, in units of the cell vectors:
Sr 0.5000 0.5000 0.0000  8 Pt 3.03, 4 Ag 3.03
Pt 0.0000 0.0000 0.0000  4 Ag 3.03, 4 Sr 3.03, 4 Pt 3.03
Ag 0.5000 0.0000 0.5000  8 Pt 3.03, 4 Sr 3.03
Pt 0.0000 0.5000 0.5000  4 Sr 3.03, 4 Ag 3.03, 4 Pt 3.03

Computed properties:
- crystal system = tetragonal
- density (g/cm3) = 12.4
- space-group type = P4/mmm

Record 3
A plane-wave DFT calculation with PBE-GGA was carried out for crystalline SrAg2Pt at its relaxed geometry.

a = 9.8972 Å, b = 9.8972 Å, c = 9.8972 Å
α = 18.51°, β = 18.51°, γ = 18.51°
Last column: nearest neighbours and their distance in Å.
Sites, in units of the cell vectors:
Pt 0.2500 0.2500 0.2500  6 Ag 2.85, 6 Pt 3.18
Ag 0.9914 0.9914 0.9914  3 Pt 2.85, 6 Ag 3.18
Sr 0.7500 0.7500 0.7500  6 Sr 3.18, 6 Ag 3.25
Ag 0.5086 0.5086 0.5086  3 Pt 2.85, 6 Ag 3.18

Computed properties:
- crystal system = trigonal
- density (g/cm3) = 9.7
- space-group type = R-3m
- relative energy among the computed polymorphs (eV/atom) = 0.715

Record 4
A plane-wave DFT calculation with PBE-GGA was carried out for crystalline Sr4AgPt2 at its relaxed geometry.

a = 7.7279 Å, b = 7.7280 Å, c = 8.3224 Å
α = 105.36°, β = 105.37°, γ = 74.95°
Last column: nearest neighbours and their distance in Å.
Sites, in units of the cell vectors:
Sr 0.6157 0.1500 0.9693  3 Pt 3.06-3.16, 2 Ag 3.28-3.30
Sr 0.6161 0.6161 0.3458  3 Pt 3.16-3.20, 2 Ag 3.24-3.34
Ag 0.8342 0.8342 0.6973  2 Pt 2.95, 2 Sr 3.23-3.24
Sr 0.6104 0.6104 0.8190  3 Pt 3.15-3.17, 2 Ag 3.23-3.39
Pt 0.4306 0.9277 0.6170  1 Ag 2.95, 1 Pt 2.98, 7 Sr 3.15-3.28
Sr 0.6368 0.1620 0.4767  4 Pt 3.12-3.28, 2 Ag 3.33
Sr 0.1239 0.1239 0.8302  4 Pt 3.16-3.31, 1 Ag 3.35
Pt 0.3399 0.3399 0.1983  7 Sr 3.06-3.31
Pt 0.3366 0.3366 0.6947  2 Pt 2.98, 7 Sr 3.08-3.17
Sr 0.1620 0.6368 0.4767  4 Pt 3.12-3.28, 2 Ag 3.33
Pt 0.9277 0.4306 0.6170  1 Ag 2.95, 1 Pt 2.98, 7 Sr 3.15-3.28
Sr 0.1311 0.1311 0.3477  4 Pt 3.14-3.20, 1 Ag 3.42
Sr 0.1500 0.6157 0.9693  3 Pt 3.06-3.16, 2 Ag 3.28-3.30
Ag 0.8349 0.8350 0.1912  7 Sr 3.28-3.42

Computed properties:
- crystal system = monoclinic
- density (g/cm3) = 6.2
- space-group type = Cm

Record 5
A plane-wave DFT calculation with PBE-GGA was carried out for crystalline Sr8Ag2Pt at its relaxed geometry.

a = 7.3893 Å, b = 8.4728 Å, c = 8.4728 Å
α = 71.99°, β = 75.27°, γ = 75.27°
Last column: nearest neighbours and their distance in Å.
Sites, in units of the cell vectors:
Ag 0.5665 0.6793 0.6793  7 Sr 3.25-3.47
Sr 0.2150 0.5830 0.5830  2 Ag 3.26-3.45
Pt 0.0000 0.0000 0.0000  6 Sr 2.97-2.99
Sr 0.2534 0.1309 0.1309  1 Pt 2.97, 1 Ag 3.27
Sr 0.7850 0.4170 0.4170  2 Ag 3.26-3.45
Sr 0.7569 0.3460 0.9410  1 Pt 2.99, 1 Ag 3.25
Sr 0.2431 0.0590 0.6540  1 Pt 2.99, 1 Ag 3.25
Ag 0.4335 0.3207 0.3207  7 Sr 3.25-3.47
Sr 0.7466 0.8691 0.8691  1 Pt 2.97, 1 Ag 3.27
Sr 0.7569 0.9410 0.3460  1 Pt 2.99, 1 Ag 3.25
Sr 0.2431 0.6540 0.0590  1 Pt 2.99, 1 Ag 3.25

Computed properties:
- crystal system = monoclinic
- density (g/cm3) = 3.9
- space-group type = C2/m
- relative energy among the computed polymorphs (eV/atom) = 0.000

Record 6
A plane-wave DFT calculation with PBE-GGA was carried out for crystalline SrAgPt at its relaxed geometry.

a = 4.9503 Å, b = 4.9503 Å, c = 4.9503 Å
α = 60.00°, β = 60.00°, γ = 60.00°
Last column: nearest neighbours and their distance in Å.
Sites, in units of the cell vectors:
Ag 0.0000 0.0000 0.0000  4 Sr 3.03
Pt 0.5000 0.5000 0.5000  4 Sr 3.03
Sr 0.7500 0.7500 0.7500  4 Pt 3.03, 4 Ag 3.03

Computed properties:
- crystal system = cubic
- density (g/cm3) = 7.6
- space-group type = F-43m
- relative energy among the computed polymorphs (eV/atom) = 0.681

no.,final energy (eV per atom)
1,-4.357
2,-4.479
3,-2.966
4,-3.701
5,-2.587
6,-3.379